[1]
4
Lattice="3.9747 0.0000 0.0000 0.0000 3.9747 0.0000 0.0000 0.0000 5.6217" Properties=species:S:1:pos:R:3 comment="Sc2SbAs (GGA-PBEsol, optimized geometry)" formation_energy_uncorrected_ev_per_atom=-1.132 dft_energy_ev_per_cell=-27.40 n_ef_per_ev_fu=0.70 spacegroup="No. 123" pbc="T T T"
Sc 0.0000 0.0000 0.0000
Sc 1.9874 1.9874 2.8108
Sb 0.0000 0.0000 2.8108
As 1.9874 1.9874 0.0000



[2]
5
Lattice="5.7932 0.0000 0.0000 0.0000 5.7932 0.0000 0.0000 0.0000 6.0027" Properties=species:S:1:pos:R:3 comment="BaLa2CdRe (GGA-PBEsol, optimized geometry)" dft_energy_ev_per_cell=-19.61 n_ef_per_ev_fu=8.89 spacegroup="No. 123" pbc="T T T"
Ba 0.0000 0.0000 0.0000
La 0.0000 2.8966 3.0013
La 2.8966 0.0000 3.0013
Cd 0.0000 0.0000 3.0013
Re 2.8966 2.8966 0.0000



[3]
16
Lattice="6.4200 0.0000 0.0000 0.0000 6.4200 0.0000 0.0000 0.0000 6.4200" Properties=species:S:1:pos:R:3 comment="TlTc2As (GGA-PBEsol, optimized geometry)" dft_energy_ev_per_cell=-110.22 n_ef_per_ev_fu=3.41 spacegroup="No. 216" de_polymorph_kj_per_mol_atoms=36.9 pbc="T T T"
Tl 0.0000 0.0000 0.0000
Tl 0.0000 3.2100 3.2100
Tl 3.2100 0.0000 3.2100
Tl 3.2100 3.2100 0.0000
Tc 0.0000 0.0000 3.2100
Tc 0.0000 3.2100 0.0000
Tc 1.6050 1.6050 4.8150
Tc 1.6050 4.8150 1.6050
Tc 3.2100 0.0000 0.0000
Tc 3.2100 3.2100 3.2100
Tc 4.8150 1.6050 1.6050
Tc 4.8150 4.8150 4.8150
As 1.6050 1.6050 1.6050
As 1.6050 4.8150 4.8150
As 4.8150 1.6050 4.8150
As 4.8150 4.8150 1.6050



[4]
5
Lattice="5.6896 0.0000 0.0000 0.0000 5.6896 0.0000 0.0000 0.0000 5.6896" Properties=species:S:1:pos:R:3 comment="Sr3SiSe (GGA-PBEsol, optimized geometry)" formation_energy_uncorrected_ev_per_atom=-0.605 dft_energy_ev_per_cell=-18.14 n_ef_per_ev_fu=0.11 spacegroup="No. 221" pbc="T T T"
Sr 0.0000 0.0000 2.8448
Sr 0.0000 2.8448 0.0000
Sr 2.8448 0.0000 0.0000
Si 2.8448 2.8448 2.8448
Se 0.0000 0.0000 0.0000



[5]
8
Lattice="3.4628 0.0000 0.0000 0.0000 4.7000 0.0000 0.0000 0.0000 13.2878" Properties=species:S:1:pos:R:3 comment="ScZnBr2 (GGA-PBEsol, optimized geometry)" formation_energy_uncorrected_ev_per_atom=-0.818 dft_energy_ev_per_cell=-30.40 n_ef_per_ev_fu=2.29 spacegroup="No. 71" pbc="T T T"
Sc 0.0000 0.0000 0.0000
Sc 1.7314 2.3500 6.6439
Zn 0.0000 0.0000 6.6439
Zn 1.7314 2.3500 0.0000
Br 0.0000 2.3500 4.6126
Br 0.0000 2.3500 8.6752
Br 1.7314 0.0000 2.0313
Br 1.7314 0.0000 11.2565



[6]
10
Lattice="4.4094 0.0000 0.0000 0.0000 4.4094 0.0000 0.0000 0.0000 10.0834" Properties=species:S:1:pos:R:3 comment="BaCo2Au2 (GGA-PBEsol, optimized geometry)" dft_energy_ev_per_cell=-49.45 n_ef_per_ev_fu=4.95 spacegroup="No. 139" pbc="T T T"
Ba 0.0000 0.0000 0.0000
Ba 2.2047 2.2047 5.0417
Co 0.0000 0.0000 3.9576
Co 0.0000 0.0000 6.1258
Co 2.2047 2.2047 1.0841
Co 2.2047 2.2047 8.9993
Au 0.0000 2.2047 2.5208
Au 0.0000 2.2047 7.5625
Au 2.2047 0.0000 2.5208
Au 2.2047 0.0000 7.5625



[7]
5
Lattice="4.1961 0.0000 0.0000 0.0000 4.1961 0.0000 0.0000 0.0000 4.4143" Properties=species:S:1:pos:R:3 comment="NiP2RhS (GGA-PBEsol, optimized geometry)" formation_energy_uncorrected_ev_per_atom=0.649 dft_energy_ev_per_cell=-27.02 n_ef_per_ev_fu=3.34 spacegroup="No. 123" pbc="T T T"
Ni 0.0000 0.0000 0.0000
P 0.0000 2.0980 0.0000
P 2.0980 0.0000 0.0000
Rh 2.0980 2.0980 2.2072
S 0.0000 0.0000 2.2072



[8]
4
Lattice="3.4270 0.0000 0.0000 0.0000 3.4270 0.0000 0.0000 0.0000 5.1155" Properties=species:S:1:pos:R:3 comment="Si2NiCl (GGA-PBEsol, optimized geometry)" formation_energy_uncorrected_ev_per_atom=0.408 dft_energy_ev_per_cell=-18.03 n_ef_per_ev_fu=2.64 spacegroup="No. 123" pbc="T T T"
Si 0.0000 1.7135 0.0000
Si 1.7135 0.0000 0.0000
Ni 0.0000 0.0000 2.5578
Cl 1.7135 1.7135 2.5578



[9]
5
Lattice="4.2485 0.0000 0.0000 0.0000 4.2485 0.0000 0.0000 0.0000 4.3291" Properties=species:S:1:pos:R:3 comment="AuIO2F (GGA-PBEsol, optimized geometry)" formation_energy_uncorrected_ev_per_atom=1.024 dft_energy_ev_per_cell=-13.00 n_ef_per_ev_fu=4.39 spacegroup="No. 123" pbc="T T T"
Au 0.0000 0.0000 0.0000
I 2.1243 2.1243 0.0000
O 0.0000 2.1243 2.1646
O 2.1243 0.0000 2.1646
F 2.1243 2.1243 2.1646



[10]
5
Lattice="4.6898 0.0000 0.0000 0.0000 4.6898 0.0000 0.0000 0.0000 4.6898" Properties=species:S:1:pos:R:3 comment="Na3SbF (GGA-PBEsol, optimized geometry)" formation_energy_uncorrected_ev_per_atom=-1.232 dft_energy_ev_per_cell=-16.84 n_ef_per_ev_fu=2.85 spacegroup="No. 221" pbc="T T T"
Na 0.0000 0.0000 2.3449
Na 0.0000 2.3449 0.0000
Na 2.3449 0.0000 0.0000
Sb 2.3449 2.3449 2.3449
F 0.0000 0.0000 0.0000



[11]
12
Lattice="5.1758 0.0000 0.0000 0.0000 5.1758 0.0000 0.0000 0.0000 5.1758" Properties=species:S:1:pos:R:3 comment="BeCoIr (GGA-PBEsol, optimized geometry)" dft_energy_ev_per_cell=-84.69 n_ef_per_ev_fu=3.60 spacegroup="No. 216" pbc="T T T"
Be 0.0000 0.0000 0.0000
Be 0.0000 2.5879 2.5879
Be 2.5879 0.0000 2.5879
Be 2.5879 2.5879 0.0000
Co 1.2939 1.2939 3.8818
Co 1.2939 3.8818 1.2939
Co 3.8818 1.2939 1.2939
Co 3.8818 3.8818 3.8818
Ir 1.2939 1.2939 1.2939
Ir 1.2939 3.8818 3.8818
Ir 3.8818 1.2939 3.8818
Ir 3.8818 3.8818 1.2939



[12]
10
Lattice="3.8497 0.0000 0.0000 0.0000 3.8497 0.0000 0.0000 0.0000 10.1370" Properties=species:S:1:pos:R:3 comment="Ir2RuS2 (GGA-PBEsol, optimized geometry)" formation_energy_uncorrected_ev_per_atom=0.734 dft_energy_ev_per_cell=-69.83 n_ef_per_ev_fu=4.21 spacegroup="No. 139" pbc="T T T"
Ir 0.0000 1.9248 2.5343
Ir 0.0000 1.9248 7.6028
Ir 1.9248 0.0000 2.5343
Ir 1.9248 0.0000 7.6028
Ru 0.0000 0.0000 0.0000
Ru 1.9248 1.9248 5.0685
S 0.0000 0.0000 3.8738
S 0.0000 0.0000 6.2632
S 1.9248 1.9248 1.1947
S 1.9248 1.9248 8.9423